Entry from the Alexandria database: an optimized crystal structure of NdSm3S6 (PBE).

Values from the calculation:
Volume ... 25.14 A^3/atom
Final energy ... -64.27 eV/f.u.
Total magnetization ... 0.000 μB per cell
E_form (uncorrected) ... -2.06 eV per atom
Space group ... P2_1/m (11)

abc: 4.0696 11.2592 11.5578
angles: 108.30 90.00 90.00
Closest atoms and distances in Å follow each position.
Fractional coordinates of all 20 atoms:
S 0.2500 0.5227 0.3888  4 Sm 2.73-2.94
Sm 0.7500 0.1612 0.0846  6 S 2.73-2.86
S 0.2500 0.8869 0.5381  3 Nd 2.91-2.97, 2 Sm 3.01
S 0.7500 0.9172 0.0979  3 Sm 2.80-2.86, 2 Nd 3.11
S 0.2500 0.2567 0.7239  3 Sm 2.85-2.93, 2 Nd 3.06
S 0.7500 0.3994 0.0633  4 Sm 2.77-2.83
S 0.7500 0.1131 0.4619  3 Nd 2.91-2.97, 2 Sm 3.01
Sm 0.2500 0.3184 0.4961  7 S 2.76-3.01
S 0.2500 0.0828 0.9021  3 Sm 2.80-2.86, 2 Nd 3.11
Sm 0.2500 0.8388 0.9154  6 S 2.73-2.86
S 0.2500 0.1911 0.2487  3 Sm 2.73-2.77, 1 Nd 2.96
Sm 0.7500 0.4344 0.8311  6 S 2.73-2.85
Sm 0.7500 0.6816 0.5039  7 S 2.76-3.01
Nd 0.7500 0.0459 0.6905  8 S 2.91-3.11
Nd 0.2500 0.9541 0.3095  8 S 2.91-3.11
Sm 0.2500 0.5656 0.1689  6 S 2.73-2.85
S 0.2500 0.6006 0.9367  4 Sm 2.77-2.83
S 0.7500 0.4773 0.6112  4 Sm 2.73-2.94
S 0.7500 0.8089 0.7513  3 Sm 2.73-2.77, 1 Nd 2.96
S 0.7500 0.7433 0.2761  3 Sm 2.85-2.93, 2 Nd 3.06

---

Entry from the Alexandria database: an optimized crystal structure of Nd5SmS8 (PBE).

Values from the calculation:
Volume ... 22.73 A^3/atom
Final energy ... -89.87 eV/f.u.
Total magnetization ... 0.000 μB per cell
E_form (uncorrected) ... -2.02 eV per atom
Space group ... I-4 (82)

abc: 7.4516 7.4516 7.4516
angles: 108.45 111.54 108.45
Closest atoms and distances in Å follow each position.
Fractional coordinates of all 14 atoms:
S 0.1298 0.7551 0.0199  4 Nd 2.85-3.03, 1 Sm 2.91
S 0.1213 0.7434 0.5168  4 Nd 2.85-2.95, 1 Sm 3.02
Nd 0.0238 0.3995 0.1263  6 S 2.85-2.96
S 0.6252 0.8901 0.8702  4 Nd 2.85-3.03, 1 Sm 2.91
Nd 0.7268 0.6005 0.6243  6 S 2.85-2.96
S 0.2648 0.2449 0.3748  4 Nd 2.85-3.03, 1 Sm 2.91
Sm 0.2500 0.5000 0.7500  8 S 2.91-3.02
S 0.9801 0.1099 0.7352  4 Nd 2.85-3.03, 1 Sm 2.91
Nd 0.5000 0.0000 0.5000  8 S 2.94-3.03
S 0.7734 0.2566 0.3779  4 Nd 2.85-2.95, 1 Sm 3.02
Nd 0.8737 0.8976 0.2732  6 S 2.85-2.96
Nd 0.3757 0.1024 0.9762  6 S 2.85-2.96
S 0.4832 0.6045 0.2266  4 Nd 2.85-2.95, 1 Sm 3.02
S 0.6221 0.3955 0.8787  4 Nd 2.85-2.95, 1 Sm 3.02

---

Entry from the Alexandria database: an optimized crystal structure of NdSmS3 (PBE).

Values from the calculation:
Volume ... 23.48 A^3/atom
Final energy ... -32.24 eV/f.u.
Total magnetization ... 0.000 μB per cell
E_form (uncorrected) ... -2.07 eV per atom
Space group ... Pnma (62)

abc: 4.0354 7.4709 15.5774
angles: 90.00 90.00 90.00
Closest atoms and distances in Å follow each position.
Fractional coordinates of all 20 atoms:
S 0.7500 0.9894 0.6077  3 Sm 2.80-2.99, 2 Nd 3.11-3.12
S 0.7500 0.1254 0.0658  3 Sm 2.84-2.94, 2 Nd 2.95, 1 S 3.12
S 0.2500 0.3746 0.5658  3 Sm 2.84-2.94, 2 Nd 2.95, 1 S 3.12
S 0.2500 0.0106 0.3923  3 Sm 2.80-2.99, 2 Nd 3.11-3.12
S 0.2500 0.1467 0.7822  4 Nd 2.83-2.98, 1 Sm 2.85, 1 S 3.12
S 0.7500 0.6254 0.4342  3 Sm 2.84-2.94, 2 Nd 2.95, 1 S 3.12
Nd 0.2500 0.1444 0.2034  8 S 2.83-3.12
S 0.2500 0.6467 0.7178  4 Nd 2.83-2.98, 1 Sm 2.85, 1 S 3.12
Nd 0.7500 0.3556 0.7034  8 S 2.83-3.12
S 0.2500 0.5106 0.1077  3 Sm 2.80-2.99, 2 Nd 3.11-3.12
Sm 0.2500 0.7659 0.5437  7 S 2.80-2.99
S 0.7500 0.4894 0.8923  3 Sm 2.80-2.99, 2 Nd 3.11-3.12
S 0.2500 0.8746 0.9342  3 Sm 2.84-2.94, 2 Nd 2.95, 1 S 3.12
S 0.7500 0.3533 0.2822  4 Nd 2.83-2.98, 1 Sm 2.85, 1 S 3.12
Nd 0.2500 0.6444 0.2966  8 S 2.83-3.12
Nd 0.7500 0.8556 0.7966  8 S 2.83-3.12
Sm 0.7500 0.2341 0.4563  7 S 2.80-2.99
Sm 0.7500 0.7341 0.0437  7 S 2.80-2.99
S 0.7500 0.8533 0.2178  4 Nd 2.83-2.98, 1 Sm 2.85, 1 S 3.12
Sm 0.2500 0.2659 0.9563  7 S 2.80-2.99

---

Entry from the Alexandria database: an optimized crystal structure of NdSm4S4 (PBE).

Values from the calculation:
Volume ... 25.11 A^3/atom
Final energy ... -56.24 eV/f.u.
Total magnetization ... 0.000 μB per cell
E_form (uncorrected) ... -1.79 eV per atom
Space group ... I4/m (87)

abc: 5.6495 6.9249 6.9280
angles: 80.42 65.94 65.93
Closest atoms and distances in Å follow each position.
Fractional coordinates of all 9 atoms:
S 0.3037 0.7963 0.5964  5 Sm 2.77-2.83, 1 Nd 2.86
Sm 0.3950 0.4094 0.8007  5 S 2.77-2.83
Sm 0.6050 0.5906 0.1993  5 S 2.77-2.83
S 0.1001 0.5962 0.2036  5 Sm 2.77-2.83, 1 Nd 2.86
S 0.8999 0.4038 0.7964  5 Sm 2.77-2.83, 1 Nd 2.86
S 0.6963 0.2037 0.4036  5 Sm 2.77-2.83, 1 Nd 2.86
Sm 0.8045 0.8005 0.5905  5 S 2.77-2.83
Sm 0.1955 0.1995 0.4095  5 S 2.77-2.83
Nd 0.0000 0.0000 0.0000  4 S 2.86

---

Entry from the Alexandria database: an optimized crystal structure of Nd2SmS4 (PBE).

Values from the calculation:
Volume ... 25.45 A^3/atom
Final energy ... -44.93 eV/f.u.
Total magnetization ... 0.000 μB per cell
E_form (uncorrected) ... -2.02 eV per atom
Space group ... Cmcm (63)

abc: 3.9237 7.0206 13.4733
angles: 90.00 90.00 106.23
Closest atoms and distances in Å follow each position.
Fractional coordinates of all 14 atoms:
Nd 0.1294 0.2587 0.4289  6 S 2.79-2.91
S 0.2223 0.4447 0.8760  3 Nd 2.89-2.91, 2 Sm 2.90
S 0.0226 0.0452 0.2500  2 Nd 2.81, 2 Sm 2.81
S 0.2223 0.4447 0.6240  3 Nd 2.89-2.91, 2 Sm 2.90
Sm 0.3733 0.7466 0.2500  6 S 2.81-2.90
S 0.9774 0.9548 0.7500  2 Nd 2.81, 2 Sm 2.81
Nd 0.8706 0.7413 0.5711  6 S 2.79-2.91
Nd 0.1294 0.2587 0.0711  6 S 2.79-2.91
S 0.5000 0.0000 0.0000  4 Nd 2.79
S 0.7777 0.5553 0.3760  3 Nd 2.89-2.91, 2 Sm 2.90
Nd 0.8706 0.7413 0.9289  6 S 2.79-2.91
Sm 0.6267 0.2534 0.7500  6 S 2.81-2.90
S 0.7777 0.5553 0.1240  3 Nd 2.89-2.91, 2 Sm 2.90
S 0.5000 0.0000 0.5000  4 Nd 2.79

---

Entry from the Alexandria database: an optimized crystal structure of NdSmS3 (PBE).

Values from the calculation:
Volume ... 25.32 A^3/atom
Final energy ... -32.01 eV/f.u.
Total magnetization ... 0.000 μB per cell
E_form (uncorrected) ... -2.03 eV per atom
Space group ... P2_1/m (11)

abc: 4.0141 7.9996 7.9008
angles: 93.76 90.00 90.00
Closest atoms and distances in Å follow each position.
Fractional coordinates of all 10 atoms:
S 0.7500 0.6240 0.3849  2 Sm 2.81, 3 Nd 2.99-3.02
S 0.7500 0.3244 0.9821  1 Sm 2.68, 3 Nd 2.83-2.99
S 0.2500 0.6756 0.0179  1 Sm 2.68, 3 Nd 2.83-2.99
S 0.2500 0.3760 0.6151  2 Sm 2.81, 3 Nd 2.99-3.02
Nd 0.7500 0.6189 0.7674  8 S 2.83-3.10
Sm 0.2500 0.8553 0.3167  6 S 2.68-2.87
Nd 0.2500 0.3811 0.2326  8 S 2.83-3.10
S 0.2500 0.8957 0.6797  3 Sm 2.83-2.87, 2 Nd 3.10
S 0.7500 0.1043 0.3203  3 Sm 2.83-2.87, 2 Nd 3.10
Sm 0.7500 0.1447 0.6833  6 S 2.68-2.87

---

Entry from the Alexandria database: an optimized crystal structure of Nd4Sm3S8 (PBE).

Values from the calculation:
Volume ... 24.77 A^3/atom
Final energy ... -96.85 eV/f.u.
Total magnetization ... 0.000 μB per cell
E_form (uncorrected) ... -2.04 eV per atom
Space group ... C2/m (12)

abc: 8.0760 8.0695 8.0695
angles: 90.00 120.03 120.03
Closest atoms and distances in Å follow each position.
Fractional coordinates of all 15 atoms:
S 0.5030 0.2532 0.2532  3 Sm 2.83-2.85, 2 Nd 2.87
Sm 0.5000 0.5000 0.5000  6 S 2.83
Nd 0.0000 0.0000 0.5000  6 S 2.85
Sm 0.5000 0.0000 0.5000  6 S 2.85
Nd 0.0000 0.5000 0.0000  6 S 2.85
Nd 0.0000 0.0000 0.0000  6 S 2.87
S 0.4970 0.7468 0.7468  3 Sm 2.83-2.85, 2 Nd 2.87
S 0.9964 0.7470 0.7470  1 Sm 2.83, 4 Nd 2.85-2.87
S 0.5000 0.2517 0.7483  3 Sm 2.83-2.85, 3 Nd 2.85-2.87
S 0.0000 0.2513 0.7487  2 Sm 2.85, 3 Nd 2.85-2.87
S 0.5000 0.7483 0.2517  3 Sm 2.83-2.85, 3 Nd 2.85-2.87
S 0.0000 0.7487 0.2513  2 Sm 2.85, 3 Nd 2.85-2.87
Sm 0.5000 0.5000 0.0000  6 S 2.85
Nd 0.5000 0.0000 0.0000  6 S 2.87
S 0.0036 0.2530 0.2530  1 Sm 2.83, 4 Nd 2.85-2.87

---

Entry from the Alexandria database: an optimized crystal structure of NdSmS (PBE).

Values from the calculation:
Volume ... 29.08 A^3/atom
Final energy ... -17.40 eV/f.u.
Total magnetization ... 0.000 μB per cell
E_form (uncorrected) ... -1.26 eV per atom
Space group ... R-3m (166)

abc: 3.9583 3.9583 13.0610
angles: 81.28 81.28 60.00
Closest atoms and distances in Å follow each position.
Fractional coordinates of all 6 atoms:
S 0.7485 0.7485 0.7545  3 Sm 2.78, 3 Nd 2.83
Sm 0.6259 0.6259 0.1222  3 S 2.78
Nd 0.1249 0.1249 0.6252  3 S 2.83
Sm 0.3741 0.3741 0.8778  3 S 2.78
Nd 0.8751 0.8751 0.3748  3 S 2.83
S 0.2515 0.2515 0.2455  3 Sm 2.78, 3 Nd 2.83

---

Entry from the Alexandria database: an optimized crystal structure of SrNd4SmS8 (PBE).

Values from the calculation:
Volume ... 29.94 A^3/atom
Final energy ... -86.07 eV/f.u.
Total magnetization ... 0.000 μB per cell
E_form (uncorrected) ... -1.97 eV per atom
Space group ... R3m (160)

abc: 8.4119 8.4119 8.3890
angles: 59.91 59.91 60.00
Closest atoms and distances in Å follow each position.
Fractional coordinates of all 14 atoms:
Nd 0.0018 0.4948 0.5017  6 S 2.81-2.91
S 0.7875 0.2358 0.7410  1 Sm 2.78, 2 Nd 2.82, 1 Sr 2.83
Sm 0.0018 0.0018 0.9945  6 S 2.78-2.88
Sr 0.3753 0.3753 0.8740  4 S 2.82-2.83
S 0.7578 0.7578 0.7267  4 Nd 2.73-2.90
Nd 0.4948 0.0018 0.5017  6 S 2.81-2.91
S 0.2358 0.2358 0.7410  1 Sm 2.78, 2 Nd 2.82, 1 Sr 2.83
Nd 0.0018 0.0018 0.5017  6 S 2.81-2.91
S 0.7599 0.7599 0.2550  3 Nd 2.74-2.91, 1 Sm 2.88
S 0.2379 0.2379 0.2863  3 Nd 2.81, 1 Sr 2.82
Nd 0.6248 0.6248 0.1256  4 S 2.73-2.74
S 0.2358 0.7875 0.7410  1 Sm 2.78, 2 Nd 2.82, 1 Sr 2.83
S 0.2253 0.7599 0.2550  3 Nd 2.74-2.91, 1 Sm 2.88
S 0.7599 0.2253 0.2550  3 Nd 2.74-2.91, 1 Sm 2.88

---

Entry from the Alexandria database: an optimized crystal structure of Sr3NdSm3S8 (PBE).

Values from the calculation:
Volume ... 26.58 A^3/atom
Final energy ... -87.99 eV/f.u.
Total magnetization ... 0.000 μB per cell
E_form (uncorrected) ... -2.07 eV per atom
Space group ... R-3m (166)

abc: 8.1703 8.1703 8.3562
angles: 119.27 90.00 120.00
Closest atoms and distances in Å follow each position.
Fractional coordinates of all 15 atoms:
S 0.7452 0.4904 0.7355  3 Sm 2.86, 3 Sr 2.98
Sm 0.0000 0.5000 0.5000  6 S 2.84-2.86
Sr 0.5000 0.5000 0.0000  6 S 2.98-3.00
Sr 0.0000 0.5000 0.0000  6 S 2.98-3.00
S 0.7429 0.9870 0.7310  2 Sm 2.84, 1 Nd 2.85, 2 Sr 3.00
Sm 0.5000 0.0000 0.5000  6 S 2.84-2.86
Nd 0.0000 0.0000 0.5000  6 S 2.85
S 0.2440 0.9870 0.7310  2 Sm 2.84, 1 Nd 2.85, 2 Sr 3.00
Sm 0.5000 0.5000 0.5000  6 S 2.84-2.86
Sr 0.0000 0.0000 0.0000  6 S 2.98-3.00
S 0.2548 0.5096 0.2645  3 Sm 2.86, 3 Sr 2.98
S 0.7560 0.0130 0.2690  2 Sm 2.84, 1 Nd 2.85, 2 Sr 3.00
S 0.2440 0.4881 0.7310  2 Sm 2.84, 1 Nd 2.85, 2 Sr 3.00
S 0.7560 0.5119 0.2690  2 Sm 2.84, 1 Nd 2.85, 2 Sr 3.00
S 0.2571 0.0130 0.2690  2 Sm 2.84, 1 Nd 2.85, 2 Sr 3.00